Material: CoAgO2
Method: DFT, GGA+U
State: optimized geometry

Cell: 2.878 2.878 6.218 Å, 76.62 76.62 60.00°
Fractional positions:
Co1 0.667 0.667 0.000
Ag1 0.500 0.500 0.501
O1 0.055 0.055 0.834
O2 0.278 0.278 0.165

Properties
calculated volume = 43 Å³/cell
total DFT energy (no corrections) = -5.057 eV per atom
SG = R3m